--- one ---
Here is a geometry-optimized SnH structure from the Alexandria database. Energies are from PBE-GGA.

Results
Symmetry   P6/mmm
Total magnetic moment   0.000 μB per atom
N(E_F)   0.6 states/eV/f.u.

Unit cell a=3.2234 b=3.2234 c=3.9888 alpha=90.00 beta=90.00 gamma=120.00
Closest atoms and distances in Å follow each position.
Fractional coordinates of all 2 atoms:
H (0.0000, 0.0000, 0.0000)  2 Sn 1.99
Sn (0.0000, 0.0000, 0.5000)  2 H 1.99

--- two ---
Here is a geometry-optimized SnH structure from the Alexandria database. Energies are from PBE-GGA.

Results
Symmetry   P1
Total magnetic moment   0.000 μB per atom
N(E_F)   0.3 states/eV/f.u.

Unit cell a=3.3087 b=3.3079 c=9.2035 alpha=89.97 beta=80.16 gamma=61.45
Closest atoms and distances in Å follow each position.
Fractional coordinates of all 4 atoms:
Sn (0.3738, 0.0046, 0.5502)  9 Sn 3.19-3.38, 2 H 3.41-3.44
H (0.7925, 0.8616, 0.9539)  1 H 0.75
H (0.8127, 0.8298, 0.8712)  1 H 0.75
Sn (0.9007, 0.2727, 0.2658)  9 Sn 3.19-3.38, 3 H 3.32-3.47

Winner for stability: two

--- one ---
Here is a geometry-optimized Sc2ReMo structure from the Alexandria database. Energies are from PBE-GGA.

Results
Symmetry   Cmm2
Total magnetic moment   0.000 μB per atom
N(E_F)   4.4 states/eV/f.u.

Unit cell a=2.8751 b=2.8751 c=9.5312 alpha=90.00 beta=90.00 gamma=110.00
Closest atoms and distances in Å follow each position.
Fractional coordinates of all 4 atoms:
Mo (0.0000, 0.0000, 0.5207)  2 Re 2.62, 2 Sc 2.84, 4 Mo 2.88
Re (0.5000, 0.5000, 0.7347)  2 Mo 2.62, 2 Sc 2.76, 4 Re 2.88
Sc (0.0000, 0.0000, 0.9667)  2 Re 2.76, 4 Sc 2.88
Sc (0.5000, 0.5000, 0.2779)  2 Mo 2.84, 4 Sc 2.88

--- two ---
Here is a geometry-optimized Sc2ReMo structure from the Alexandria database. Energies are from PBE-GGA.

Results
Symmetry   Immm
Total magnetic moment   0.000 μB per atom
N(E_F)   4.4 states/eV/f.u.

Unit cell a=5.4177 b=5.4177 c=5.4177 alpha=144.76 beta=129.20 gamma=63.34
Closest atoms and distances in Å follow each position.
Fractional coordinates of all 4 atoms:
Mo (0.7500, 0.2500, 0.5000)  4 Re 2.84, 4 Sc 2.89
Sc (0.4924, 0.4924, 0.0000)  2 Re 2.77, 4 Sc 2.85, 2 Mo 2.89
Re (0.2500, 0.7500, 0.5000)  4 Sc 2.77, 4 Mo 2.84
Sc (0.0076, 0.0076, 0.0000)  2 Re 2.77, 4 Sc 2.85, 2 Mo 2.89

Winner for stability: two